No. 1
{
  "formula": "CsGaAg",
  "functional": "PBE",
  "state": "relaxed",
  "lattice_angstrom": [[-0.150, 1.473, -3.481], [2.640, -2.453, -1.151], [-5.988, -3.849, 0.685]],
  "species": ["Cs", "Ga", "Ag"],
  "fractional_positions": [[0.998, 0.998, 0.996], [0.279, 0.279, 0.558], [0.723, 0.723, 0.446]],
  "total_energy_ev_per_atom": -2.14,
  "relative_energy_mev_per_atom": 133,
  "magnetic_moment_mub_per_cell": 0.00,
  "formation_energy_ev_per_atom": 0.102
}

No. 2
{
  "formula": "InTcN2F",
  "functional": "PBE",
  "state": "relaxed",
  "lattice_angstrom": [[3.948, 0.000, 0.000], [0.000, 3.948, 0.000], [0.000, 0.000, 4.449]],
  "species": ["N", "N", "F", "Tc", "In"],
  "fractional_positions": [[0.000, 0.500, 0.000], [0.500, 0.000, 0.000], [0.000, 0.000, 0.500], [0.000, 0.000, 0.000], [0.500, 0.500, 0.500]],
  "total_energy_ev_per_atom": -6.37,
  "relative_energy_mev_per_atom": 0,
  "formation_energy_uncorrected_ev_per_atom": -0.047,
  "magnetic_moment_mub_per_cell": 0.00
}

No. 3
{
  "formula": "Tb5Er4Tm",
  "functional": "PBE",
  "state": "relaxed",
  "lattice_angstrom": [[6.238, 0.000, 0.000], [3.119, 7.149, 0.000], [3.119, 0.000, 7.149]],
  "species": ["Tb", "Tb", "Tb", "Tb", "Tb", "Er", "Er", "Er", "Er", "Tm"],
  "fractional_positions": [[0.805, 0.378, 0.916], [0.183, 0.916, 0.622], [0.721, 0.084, 0.378], [0.099, 0.622, 0.084], [0.681, 0.000, 0.000], [0.404, 0.391, 0.701], [0.795, 0.701, 0.609], [0.105, 0.299, 0.391], [0.496, 0.609, 0.299], [0.221, 0.000, 0.000]],
  "total_energy_ev_per_atom": -4.28,
  "relative_energy_mev_per_atom": 271,
  "magnetic_moment_mub_per_cell": 0.00,
  "formation_energy_ev_per_atom": 0.310
}